Entry 1:
As2Au9 (PBE, optimized geometry); space group = P-3m1; total DFT energy (no corrections) = -3.4174 eV/atom
1.0
-0.4030 1.8158 2.2741
-2.2824 -1.4591 -1.1372
5.6944 -25.6637 21.5003
As Au
2 9
direct
0.3333 0.6667 0.8464 As
0.6667 0.3333 0.1536 As
0.0000 0.0000 0.7099 Au
0.3333 0.6667 0.6396 Au
0.0000 0.0000 0.2901 Au
0.0000 0.0000 0.5000 Au
0.3333 0.6667 0.4303 Au
0.6667 0.3333 0.5697 Au
0.6667 0.3333 0.3604 Au
0.6667 0.3333 0.7807 Au
0.3333 0.6667 0.2193 Au

=====

Entry 2:
ErCo2Ni2 (PBE, optimized geometry); space group = I4/mmm; ΔE_f = -0.102 eV per atom
1.0
-1.8539 1.8539 5.1329
1.8539 -1.8539 5.1329
1.8539 1.8539 -5.1329
Ni Co Er
2 2 1
direct
0.3897 0.3897 0.0000 Ni
0.6103 0.6103 0.0000 Ni
0.2500 0.7500 0.5000 Co
0.7500 0.2500 0.5000 Co
0.0000 0.0000 0.0000 Er

=====

Entry 3:
KHoPbS3 (PBE, optimized geometry); space group = Cmcm; ΔE to the lowest computed polymorph = 81 meV/atom
1.0
2.0109 -8.2453 0.0000
2.0109 8.2453 0.0000
0.0000 0.0000 11.4300
K S Pb Ho
2 6 2 2
direct
0.6610 0.3390 0.7500 K
0.3390 0.6610 0.2500 K
0.0067 0.9933 0.2500 S
0.9933 0.0067 0.7500 S
0.6106 0.3894 0.0006 S
0.6106 0.3894 0.4994 S
0.3894 0.6106 0.9994 S
0.3894 0.6106 0.5006 S
0.3804 0.6196 0.7500 Pb
0.6196 0.3804 0.2500 Pb
0.0000 0.0000 0.0000 Ho
0.0000 0.0000 0.5000 Ho

=====

Entry 4:
CdAsIr2 (PBE, optimized geometry); space group = F-43m; total DFT energy (no corrections) = -5.3475 eV/atom
1.0
2.2910 -3.8090 0.9572
2.3829 -0.3105 3.8598
-1.4290 -2.7338 3.3402
Ir As Cd
2 1 1
direct
0.0000 0.0000 0.0000 Ir
0.7500 0.7500 0.7500 Ir
0.5000 0.5000 0.5000 As
0.2500 0.2500 0.2500 Cd

=====

Entry 5:
TaTlCuPt (PBE, optimized geometry); space group = F-43m; ΔE to the lowest computed polymorph = 0 meV/atom
1.0
0.0000 3.2464 3.2464
3.2464 0.0000 3.2464
3.2464 3.2464 0.0000
Pt Tl Cu Ta
1 1 1 1
direct
0.2500 0.2500 0.2500 Pt
0.0000 0.0000 0.0000 Tl
0.7500 0.7500 0.7500 Cu
0.5000 0.5000 0.5000 Ta

=====

Entry 6:
ErP (PBE, optimized geometry); space group = Pm-3m; total DFT energy (no corrections) = -6.0361 eV/atom
1.0
-1.0621 1.1801 -3.0495
-3.2687 -0.4689 0.9569
-0.0875 3.1949 1.2668
P Er
1 1
direct
0.5000 0.5000 0.5000 P
0.0000 0.0000 0.0000 Er

=====

Entry 7:
BeCdRe2 (PBE, optimized geometry); space group = F-43m; total DFT energy (no corrections) = -6.8880 eV/atom
1.0
1.9460 0.5757 3.8520
-2.0579 -1.1246 3.6683
1.3580 -3.4454 2.2894
Re Cd Be
2 1 1
direct
0.0000 0.0000 0.0000 Re
0.7500 0.7500 0.7500 Re
0.2500 0.2500 0.2500 Cd
0.5000 0.5000 0.5000 Be

=====

Entry 8:
Y2Tm5Ni2Te2 (PBE, optimized geometry); space group = Imm2; ΔE to the lowest computed polymorph = 4 meV/atom
1.0
-1.9127 7.7482 4.7562
1.9127 -7.7482 4.7562
1.9127 7.7482 -4.7562
Tm Ni Y Te
5 2 2 2
direct
0.2811 0.0962 0.1848 Tm
0.9769 0.4769 0.5000 Tm
0.6000 0.7468 0.8532 Tm
0.8936 0.7468 0.1468 Tm
0.9114 0.0962 0.8152 Tm
0.6677 0.4051 0.2626 Ni
0.1424 0.4051 0.7374 Ni
0.2637 0.8952 0.3684 Y
0.5268 0.8952 0.6316 Y
0.2403 0.2403 0.0000 Te
0.6423 0.1423 0.5000 Te

=====

Entry 9:
DyInPt (PBE, optimized geometry); space group = P-62m; total DFT energy (no corrections) = -4.9164 eV/atom
1.0
8.1725 0.0000 0.0000
-4.0863 7.0776 0.0000
0.0000 0.0000 3.3274
In Dy Pt
3 3 3
direct
0.3333 0.6667 0.0000 In
0.0000 0.0000 0.5000 In
0.6667 0.3333 0.0000 In
0.0000 0.2987 0.0000 Dy
0.2987 0.0000 0.0000 Dy
0.7013 0.7013 0.0000 Dy
0.6366 0.0000 0.5000 Pt
0.3634 0.3634 0.5000 Pt
0.0000 0.6366 0.5000 Pt

=====

Entry 10:
TbBPd3 (PBE, optimized geometry); space group = P4mm; total DFT energy (no corrections) = -6.0561 eV/atom
1.0
4.0203 0.0000 0.0000
0.0000 4.0203 0.0000
0.0000 0.0000 4.9305
Pd Tb B
3 1 1
direct
0.5000 0.0000 0.5017 Pd
0.0000 0.0000 0.0975 Pd
0.0000 0.5000 0.5017 Pd
0.5000 0.5000 0.9944 Tb
0.0000 0.0000 0.6727 B

=====

Entry 11:
NaTbFeSe3 (PBE, optimized geometry); space group = C2/m; ΔE to the lowest computed polymorph = 128 meV/atom
1.0
8.9403 -2.0359 0.0000
8.9403 2.0359 0.0000
-2.0284 0.0000 7.9444
Se Fe Tb Na
6 2 2 2
direct
0.6651 0.6651 0.3463 Se
0.0000 0.0000 0.5000 Se
0.6648 0.6648 0.8256 Se
0.3352 0.3352 0.1744 Se
0.3349 0.3349 0.6537 Se
0.5000 0.5000 0.0000 Se
0.4788 0.4788 0.2806 Fe
0.5212 0.5212 0.7194 Fe
0.1712 0.1712 0.5904 Tb
0.8288 0.8288 0.4096 Tb
0.8671 0.8671 0.9281 Na
0.1329 0.1329 0.0719 Na

=====

Entry 12:
ZrAlMo (PBE, optimized geometry); space group = Pnma; ΔE to the lowest computed polymorph = 0 meV/atom
1.0
-1.9970 -4.6451 -5.3262
1.0489 -2.6654 1.9312
-7.8815 -0.5886 3.4684
Mo Al Zr
4 4 4
direct
0.3853 0.2500 0.5620 Mo
0.8853 0.2500 0.9380 Mo
0.6147 0.7500 0.4380 Mo
0.1147 0.7500 0.0620 Mo
0.7524 0.2500 0.6381 Al
0.2476 0.7500 0.3619 Al
0.7476 0.7500 0.1381 Al
0.2524 0.2500 0.8619 Al
0.4438 0.2500 0.1638 Zr
0.9438 0.2500 0.3362 Zr
0.0562 0.7500 0.6637 Zr
0.5562 0.7500 0.8362 Zr